K3Nd3P4S16 | PBEsol | relaxed

Geometry as CIF:
```
data_K3Nd3P4S16
_chemical_formula_sum 'K12 Nd12 P16 S64'
_space_group_name_H-M_alt 'C 1 2/c 1'
_space_group_IT_number 15
_cell_length_a 16.028
_cell_length_b 11.542
_cell_length_c 14.806
_cell_angle_alpha 90.00
_cell_angle_beta 90.87
_cell_angle_gamma 90.00
loop_
_space_group_symop_operation_xyz
'x,y,z'
'-x,-y,-z'
'-x,y,-z+1/2'
'x,-y,z+1/2'
'x+1/2,y+1/2,z'
'-x+1/2,-y+1/2,-z'
'-x+1/2,y+1/2,-z+1/2'
'x+1/2,-y+1/2,z+1/2'
loop_
_atom_site_label
_atom_site_type_symbol
_atom_site_fract_x
_atom_site_fract_y
_atom_site_fract_z
_atom_site_occupancy
K1 K 0.000 0.000 0.000 1
K2 K 0.209 0.181 0.337 1
Nd1 Nd 0.000 0.256 0.750 1
Nd2 Nd 0.130 0.382 0.012 1
P1 P 0.084 0.315 0.525 1
P2 P 0.185 0.149 0.860 1
S1 S 0.010 0.260 0.420 1
S2 S 0.020 0.437 0.602 1
S3 S 0.091 0.052 0.805 1
S4 S 0.112 0.182 0.610 1
S5 S 0.161 0.321 0.828 1
S6 S 0.185 0.133 0.998 1
S7 S 0.188 0.392 0.477 1
S8 S 0.202 0.398 0.188 1
```

Properties
Uncorrected formation energy   -28.8 eV per formula unit